(1)
The following is a DFT calculation (PBE-GGA) of TiV4Ir after structural relaxation.

Cell and atoms, written as CIF:
```
data_TiV4Ir
_space_group_name_H-M_alt 'P 1'
_space_group_IT_number 1
_space_group_name_Hall 'P 1'
_cell_length_a 4.924
_cell_length_b 4.924
_cell_length_c 4.924
_cell_angle_alpha 60.00
_cell_angle_beta 60.00
_cell_angle_gamma 60.00
loop_
_atom_site_label
_atom_site_type_symbol
_atom_site_fract_x
_atom_site_fract_y
_atom_site_fract_z
_atom_site_occupancy
V1 V 0.626 0.626 0.123 1
V2 V 0.626 0.123 0.626 1
V3 V 0.123 0.626 0.626 1
V4 V 0.626 0.626 0.626 1
Ti1 Ti 0.000 0.000 0.000 1
Ir1 Ir 0.250 0.250 0.250 1
```

Results
Uncorrected energy, eV/atom: -9.054

(2)
The following is a DFT calculation (PBE-GGA) of Li6TmZn6 after structural relaxation.

Cell and atoms, written as CIF:
```
data_Li6TmZn6
_space_group_name_H-M_alt 'P 1'
_space_group_IT_number 1
_space_group_name_Hall 'P 1'
_cell_length_a 5.117
_cell_length_b 6.945
_cell_length_c 6.945
_cell_angle_alpha 82.46
_cell_angle_beta 68.38
_cell_angle_gamma 68.38
loop_
_atom_site_label
_atom_site_type_symbol
_atom_site_fract_x
_atom_site_fract_y
_atom_site_fract_z
_atom_site_occupancy
Li1 Li 0.000 0.345 0.655 1
Li2 Li 0.356 0.644 0.644 1
Li3 Li 0.644 0.356 0.356 1
Li4 Li 0.000 0.655 0.345 1
Li5 Li 0.293 0.207 0.207 1
Li6 Li 0.707 0.793 0.793 1
Zn1 Zn 0.000 0.000 0.500 1
Zn2 Zn 0.500 0.000 0.500 1
Zn3 Zn 0.000 0.500 0.000 1
Zn4 Zn 0.500 0.500 0.000 1
Zn5 Zn 0.500 0.208 0.792 1
Zn6 Zn 0.500 0.792 0.208 1
Tm1 Tm 0.000 0.000 0.000 1
```

Results
Uncorrected energy, eV/atom: -1.996

(3)
The following is a DFT calculation (PBE-GGA) of K9Rb3O2 after structural relaxation.

Cell and atoms, written as CIF:
```
data_K9Rb3O2
_space_group_name_H-M_alt 'P 1'
_space_group_IT_number 1
_space_group_name_Hall 'P 1'
_cell_length_a 11.886
_cell_length_b 11.886
_cell_length_c 11.886
_cell_angle_alpha 86.74
_cell_angle_beta 86.74
_cell_angle_gamma 86.74
loop_
_atom_site_label
_atom_site_type_symbol
_atom_site_fract_x
_atom_site_fract_y
_atom_site_fract_z
_atom_site_occupancy
K1 K 0.594 0.737 0.467 1
K2 K 0.630 0.870 0.750 1
K3 K 0.263 0.533 0.406 1
K4 K 0.737 0.467 0.594 1
K5 K 0.967 0.237 0.094 1
K6 K 0.370 0.130 0.250 1
K7 K 0.033 0.763 0.906 1
K8 K 0.406 0.263 0.533 1
K9 K 0.870 0.750 0.630 1
K10 K 0.906 0.033 0.763 1
K11 K 0.130 0.250 0.370 1
K12 K 0.763 0.906 0.033 1
K13 K 0.750 0.630 0.870 1
K14 K 0.237 0.094 0.967 1
K15 K 0.467 0.594 0.737 1
K16 K 0.094 0.967 0.237 1
K17 K 0.533 0.406 0.263 1
K18 K 0.250 0.370 0.130 1
Rb1 Rb 0.597 0.250 0.903 1
Rb2 Rb 0.903 0.597 0.250 1
Rb3 Rb 0.097 0.403 0.750 1
Rb4 Rb 0.403 0.750 0.097 1
Rb5 Rb 0.750 0.097 0.403 1
Rb6 Rb 0.250 0.903 0.597 1
O1 O 0.164 0.164 0.164 1
O2 O 0.664 0.664 0.664 1
O3 O 0.336 0.336 0.336 1
O4 O 0.836 0.836 0.836 1
```

Results
E_form (uncorrected), meV/atom: -441.5
Uncorrected energy, eV/atom: -2.063

(4)
The following is a DFT calculation (PBE-GGA) of H6PdPt4 after structural relaxation.

Cell and atoms, written as CIF:
```
data_H6PdPt4
_space_group_name_H-M_alt 'P 1'
_space_group_IT_number 1
_space_group_name_Hall 'P 1'
_cell_length_a 5.957
_cell_length_b 5.513
_cell_length_c 8.046
_cell_angle_alpha 47.79
_cell_angle_beta 43.33
_cell_angle_gamma 80.11
loop_
_atom_site_label
_atom_site_type_symbol
_atom_site_fract_x
_atom_site_fract_y
_atom_site_fract_z
_atom_site_occupancy
H1 H 0.659 0.974 0.521 1
H2 H 0.322 0.312 0.108 1
H3 H 0.339 0.302 0.656 1
H4 H 0.995 0.641 0.932 1
H5 H 0.059 0.582 0.574 1
H6 H 0.553 0.082 0.843 1
Pd1 Pd 0.797 0.841 0.092 1
Pt1 Pt 0.119 0.516 0.371 1
Pt2 Pt 0.312 0.324 0.873 1
Pt3 Pt 0.831 0.805 0.664 1
Pt4 Pt 0.515 0.121 0.366 1
```

Results
Uncorrected energy, eV/atom: -4.428

(5)
The following is a DFT calculation (PBE-GGA) of CrInWAu2 after structural relaxation.

Cell and atoms, written as CIF:
```
data_CrInWAu2
_space_group_name_H-M_alt 'P 1'
_space_group_IT_number 1
_space_group_name_Hall 'P 1'
_cell_length_a 4.863
_cell_length_b 4.948
_cell_length_c 4.863
_cell_angle_alpha 90.00
_cell_angle_beta 90.00
_cell_angle_gamma 90.00
loop_
_atom_site_label
_atom_site_type_symbol
_atom_site_fract_x
_atom_site_fract_y
_atom_site_fract_z
_atom_site_occupancy
In1 In 0.000 0.500 0.000 1
Au1 Au 0.500 0.000 0.000 1
Au2 Au 0.000 0.000 0.500 1
W1 W 0.500 0.500 0.500 1
Cr1 Cr 0.000 0.000 0.000 1
```

Results
Uncorrected energy, eV/atom: -4.727

(6)
The following is a DFT calculation (PBE-GGA) of CdNi2As2 after structural relaxation.

Cell and atoms, written as CIF:
```
data_CdNi2As2
_space_group_name_H-M_alt 'P 1'
_space_group_IT_number 1
_space_group_name_Hall 'P 1'
_cell_length_a 7.187
_cell_length_b 7.187
_cell_length_c 3.051
_cell_angle_alpha 90.00
_cell_angle_beta 90.00
_cell_angle_gamma 90.00
loop_
_atom_site_label
_atom_site_type_symbol
_atom_site_fract_x
_atom_site_fract_y
_atom_site_fract_z
_atom_site_occupancy
As1 As 0.656 0.844 0.500 1
As2 As 0.844 0.344 0.500 1
As3 As 0.344 0.156 0.500 1
As4 As 0.156 0.656 0.500 1
Ni1 Ni 0.873 0.627 0.000 1
Ni2 Ni 0.127 0.373 0.000 1
Ni3 Ni 0.627 0.127 0.000 1
Ni4 Ni 0.373 0.873 0.000 1
Cd1 Cd 0.500 0.500 0.000 1
Cd2 Cd 0.000 0.000 0.000 1
```

Results
Uncorrected energy, eV/atom: -4.355

(7)
The following is a DFT calculation (PBE-GGA) of CsHgI after structural relaxation.

Cell and atoms, written as CIF:
```
data_CsHgI
_space_group_name_H-M_alt 'P 1'
_space_group_IT_number 1
_space_group_name_Hall 'P 1'
_cell_length_a 5.418
_cell_length_b 5.828
_cell_length_c 5.828
_cell_angle_alpha 120.00
_cell_angle_beta 90.00
_cell_angle_gamma 90.00
loop_
_atom_site_label
_atom_site_type_symbol
_atom_site_fract_x
_atom_site_fract_y
_atom_site_fract_z
_atom_site_occupancy
I1 I 0.687 0.667 0.333 1
Cs1 Cs 0.336 0.333 0.667 1
Hg1 Hg 0.978 0.000 0.000 1
```

Results
Polymorph energy (0 for the lowest one), meV per atom: 51
E_form (uncorrected), meV/atom: -913.4
Uncorrected energy, eV/atom: -1.815

(8)
The following is a DFT calculation (PBE-GGA) of Ac2ErCd12Ag3 after structural relaxation.

Cell and atoms, written as CIF:
```
data_Ac2ErCd12Ag3
_space_group_name_H-M_alt 'P 1'
_space_group_IT_number 1
_space_group_name_Hall 'P 1'
_cell_length_a 11.207
_cell_length_b 11.207
_cell_length_c 11.207
_cell_angle_alpha 38.18
_cell_angle_beta 38.18
_cell_angle_gamma 38.18
loop_
_atom_site_label
_atom_site_type_symbol
_atom_site_fract_x
_atom_site_fract_y
_atom_site_fract_z
_atom_site_occupancy
Cd1 Cd 0.681 0.681 0.279 1
Cd2 Cd 0.124 0.124 0.551 1
Cd3 Cd 0.681 0.279 0.681 1
Cd4 Cd 0.449 0.876 0.876 1
Cd5 Cd 0.319 0.721 0.319 1
Cd6 Cd 0.721 0.319 0.319 1
Cd7 Cd 0.876 0.876 0.449 1
Cd8 Cd 0.551 0.124 0.124 1
Cd9 Cd 0.876 0.449 0.876 1
Cd10 Cd 0.124 0.551 0.124 1
Cd11 Cd 0.319 0.319 0.721 1
Cd12 Cd 0.279 0.681 0.681 1
Ac1 Ac 0.358 0.358 0.358 1
Ac2 Ac 0.642 0.642 0.642 1
Ag1 Ag 0.000 0.500 0.000 1
Ag2 Ag 0.000 0.000 0.500 1
Ag3 Ag 0.500 0.000 0.000 1
Er1 Er 0.000 0.000 0.000 1
```

Results
Uncorrected energy, eV/atom: -1.816

(9)
The following is a DFT calculation (PBE-GGA) of Y2HoTmSc2 after structural relaxation.

Cell and atoms, written as CIF:
```
data_Y2HoTmSc2
_space_group_name_H-M_alt 'P 1'
_space_group_IT_number 1
_space_group_name_Hall 'P 1'
_cell_length_a 5.434
_cell_length_b 9.382
_cell_length_c 6.838
_cell_angle_alpha 90.00
_cell_angle_beta 90.00
_cell_angle_gamma 90.00
loop_
_atom_site_label
_atom_site_type_symbol
_atom_site_fract_x
_atom_site_fract_y
_atom_site_fract_z
_atom_site_occupancy
Ho1 Ho 0.500 0.500 0.500 1
Ho2 Ho 0.000 0.000 0.000 1
Y1 Y 0.000 0.666 0.751 1
Y2 Y 0.500 0.834 0.251 1
Y3 Y 0.500 0.166 0.749 1
Y4 Y 0.000 0.334 0.249 1
Sc1 Sc 0.000 0.667 0.250 1
Sc2 Sc 0.000 0.333 0.750 1
Sc3 Sc 0.500 0.833 0.750 1
Sc4 Sc 0.500 0.167 0.250 1
Tm1 Tm 0.500 0.500 0.000 1
Tm2 Tm 0.000 0.000 0.500 1
```

Results
Uncorrected energy, eV/atom: -5.701

(10)
The following is a DFT calculation (PBE-GGA) of Pm2YSnC after structural relaxation.

Cell and atoms, written as CIF:
```
data_Pm2YSnC
_space_group_name_H-M_alt 'P 1'
_space_group_IT_number 1
_space_group_name_Hall 'P 1'
_cell_length_a 4.908
_cell_length_b 5.065
_cell_length_c 5.065
_cell_angle_alpha 90.00
_cell_angle_beta 90.00
_cell_angle_gamma 90.00
loop_
_atom_site_label
_atom_site_type_symbol
_atom_site_fract_x
_atom_site_fract_y
_atom_site_fract_z
_atom_site_occupancy
Sn1 Sn 0.500 0.500 0.500 1
Y1 Y 0.500 0.000 0.000 1
Pm1 Pm 0.000 0.500 0.000 1
Pm2 Pm 0.000 0.000 0.500 1
C1 C 0.000 0.000 0.000 1
```

Results
Uncorrected energy, eV/atom: -6.394

(11)
The following is a DFT calculation (PBE-GGA) of RbVSb2 after structural relaxation.

Cell and atoms, written as CIF:
```
data_RbVSb2
_space_group_name_H-M_alt 'P 1'
_space_group_IT_number 1
_space_group_name_Hall 'P 1'
_cell_length_a 3.439
_cell_length_b 3.439
_cell_length_c 9.023
_cell_angle_alpha 90.00
_cell_angle_beta 90.00
_cell_angle_gamma 90.00
loop_
_atom_site_label
_atom_site_type_symbol
_atom_site_fract_x
_atom_site_fract_y
_atom_site_fract_z
_atom_site_occupancy
V1 V 0.500 0.500 0.000 1
Sb1 Sb 0.000 0.000 0.821 1
Sb2 Sb 0.000 0.000 0.179 1
Rb1 Rb 0.500 0.500 0.500 1
```

Results
Polymorph energy (0 for the lowest one), meV per atom: 0
E_form (uncorrected), meV/atom: -70.8
Uncorrected energy, eV/atom: -4.653

(12)
The following is a DFT calculation (PBE-GGA) of BaLi2MnCl8 after structural relaxation.

Cell and atoms, written as CIF:
```
data_BaLi2MnCl8
_space_group_name_H-M_alt 'P 1'
_space_group_IT_number 1
_space_group_name_Hall 'P 1'
_cell_length_a 6.199
_cell_length_b 6.199
_cell_length_c 8.579
_cell_angle_alpha 90.00
_cell_angle_beta 90.00
_cell_angle_gamma 120.00
loop_
_atom_site_label
_atom_site_type_symbol
_atom_site_fract_x
_atom_site_fract_y
_atom_site_fract_z
_atom_site_occupancy
Cl1 Cl 0.274 0.314 0.341 1
Cl2 Cl 0.041 0.726 0.341 1
Cl3 Cl 0.686 0.959 0.341 1
Cl4 Cl 0.959 0.274 0.659 1
Cl5 Cl 0.726 0.686 0.659 1
Cl6 Cl 0.667 0.333 0.024 1
Cl7 Cl 0.333 0.667 0.976 1
Cl8 Cl 0.314 0.041 0.659 1
Li1 Li 0.667 0.333 0.291 1
Li2 Li 0.333 0.667 0.709 1
Ba1 Ba 0.000 0.000 0.000 1
Mn1 Mn 0.000 0.000 0.500 1
```

Results
E_form (uncorrected), meV/atom: -1524.0
Uncorrected energy, eV/atom: -3.998